[1]
## V4MoW (GGA-PBE)

Data for an optimized crystal structure of V4MoW.

abc: 7.4641 7.4641 4.8815
angles: 93.10 93.10 138.75
Closest atoms and distances in Å follow each position.
Fractional coordinates of all 12 atoms:
V 0.0833 0.4147 0.2468  2 Mo 2.57-2.70, 2 W 2.60-2.71, 4 V 2.61-2.64
V 0.2497 0.2498 0.4985  6 V 2.44-2.63
V 0.2498 0.2497 0.9985  6 V 2.44-2.63
V 0.4147 0.0833 0.7468  2 Mo 2.57-2.70, 2 W 2.60-2.71, 4 V 2.61-2.64
V 0.5853 0.9167 0.2532  2 Mo 2.57-2.70, 2 W 2.60-2.71, 4 V 2.61-2.64
V 0.7502 0.7503 0.0015  6 V 2.44-2.63
V 0.7503 0.7502 0.5015  6 V 2.44-2.63
V 0.9167 0.5853 0.7532  2 Mo 2.57-2.70, 2 W 2.60-2.71, 4 V 2.61-2.64
Mo 0.1653 0.8347 0.2500  6 V 2.57-2.84, 2 W 2.63
Mo 0.8347 0.1653 0.7500  6 V 2.57-2.84, 2 W 2.63
W 0.3355 0.6645 0.7500  6 V 2.60-2.83, 2 Mo 2.63
W 0.6645 0.3355 0.2500  6 V 2.60-2.83, 2 Mo 2.63

The calculation puts the energy of formation from the pure elements at 1.4 eV/f.u. As for the energy above the lowest structure with this stoichiometry: 0.250 eV per atom. Its calculated density is 9.064 g/cm3.

[2]
## V6MoW (GGA-PBE)

Data for an optimized crystal structure of V6MoW.

abc: 4.2991 5.2731 5.2731
angles: 70.78 90.00 90.00
Closest atoms and distances in Å follow each position.
Fractional coordinates of all 8 atoms:
V 0.0000 0.0000 0.0000  8 V 2.60-2.67
V 0.0000 0.4943 0.9979  4 V 2.60-2.67, 2 Mo 2.62-2.66, 2 W 2.64
V 0.0000 0.9979 0.4943  4 V 2.60-2.67, 2 Mo 2.62-2.66, 2 W 2.64
V 0.5000 0.2407 0.2407  8 V 2.59-2.68
V 0.5000 0.2474 0.7467  4 V 2.59-2.68, 2 W 2.61-2.66, 2 Mo 2.64
V 0.5000 0.7467 0.2474  4 V 2.59-2.68, 2 W 2.61-2.66, 2 Mo 2.64
Mo 0.0000 0.4940 0.4940  8 V 2.62-2.66
W 0.5000 0.7506 0.7506  8 V 2.61-2.66

The calculation puts the energy of formation from the pure elements at -0.4 eV/f.u. As for the energy above the lowest structure with this stoichiometry: 0.000 eV per atom. Its calculated density is 8.612 g/cm3.

[3]
## V3Mo3W (GGA-PBE)

Data for an optimized crystal structure of V3Mo3W.

abc: 11.5315 11.5315 2.5327
angles: 90.00 90.00 120.00
Closest atoms and distances in Å follow each position.
Fractional coordinates of all 14 atoms:
V 0.1298 0.7346 0.2500  2 V 2.53, 3 Mo 2.56-2.70, 1 W 2.82
V 0.2654 0.3952 0.2500  2 V 2.53, 3 Mo 2.56-2.70, 1 W 2.82
V 0.3952 0.1298 0.7500  2 V 2.53, 3 Mo 2.56-2.70, 1 W 2.82
V 0.6048 0.8702 0.2500  2 V 2.53, 3 Mo 2.56-2.70, 1 W 2.82
V 0.7346 0.6048 0.7500  2 V 2.53, 3 Mo 2.56-2.70, 1 W 2.82
V 0.8702 0.2654 0.7500  2 V 2.53, 3 Mo 2.56-2.70, 1 W 2.82
Mo 0.0850 0.4625 0.2500  4 Mo 2.53-2.81, 3 V 2.56-2.70, 1 W 2.65
Mo 0.3775 0.9150 0.2500  4 Mo 2.53-2.81, 3 V 2.56-2.70, 1 W 2.65
Mo 0.4625 0.3775 0.7500  4 Mo 2.53-2.81, 3 V 2.56-2.70, 1 W 2.65
Mo 0.5375 0.6225 0.2500  4 Mo 2.53-2.81, 3 V 2.56-2.70, 1 W 2.65
Mo 0.6225 0.0850 0.7500  4 Mo 2.53-2.81, 3 V 2.56-2.70, 1 W 2.65
Mo 0.9150 0.5375 0.7500  4 Mo 2.53-2.81, 3 V 2.56-2.70, 1 W 2.65
W 0.3333 0.6667 0.2500  2 W 2.53, 3 Mo 2.65, 3 V 2.82
W 0.6667 0.3333 0.7500  2 W 2.53, 3 Mo 2.65, 3 V 2.82

The calculation puts the energy of formation from the pure elements at 7.2 eV/f.u. As for the energy above the lowest structure with this stoichiometry: 1.142 eV per atom. Its calculated density is 7.111 g/cm3.

[4]
## V2MoW5 (GGA-PBE)

Data for an optimized crystal structure of V2MoW5.

abc: 6.2743 12.5493 3.1461
angles: 90.00 90.00 90.00
Closest atoms and distances in Å follow each position.
Fractional coordinates of all 16 atoms:
V 0.2493 0.1247 0.0000  2 Mo 2.71, 6 W 2.72
V 0.2507 0.6247 0.0000  2 Mo 2.71, 6 W 2.72
V 0.7493 0.3753 0.0000  2 Mo 2.71, 6 W 2.72
V 0.7507 0.8753 0.0000  2 Mo 2.71, 6 W 2.72
Mo 0.0000 0.0000 0.5000  4 V 2.71, 4 W 2.72
Mo 0.5000 0.5000 0.5000  4 V 2.71, 4 W 2.72
W 0.9998 0.2506 0.5000  4 V 2.72, 4 W 2.72
W 0.0000 0.5000 0.5000  4 V 2.72, 4 W 2.72
W 0.0002 0.7494 0.5000  4 V 2.72, 4 W 2.72
W 0.2493 0.8752 0.0000  2 Mo 2.72, 6 W 2.72
W 0.2507 0.3752 0.0000  2 Mo 2.72, 6 W 2.72
W 0.5000 0.0000 0.5000  4 V 2.72, 4 W 2.72
W 0.4998 0.2494 0.5000  4 V 2.72, 4 W 2.72
W 0.5002 0.7506 0.5000  4 V 2.72, 4 W 2.72
W 0.7493 0.6248 0.0000  2 Mo 2.72, 6 W 2.72
W 0.7507 0.1248 0.0000  2 Mo 2.72, 6 W 2.72

The calculation puts the energy of formation from the pure elements at -0.6 eV/f.u. Its calculated density is 14.976 g/cm3.

[5]
## VMo4W2 (GGA-PBE)

Data for an optimized crystal structure of VMo4W2.

abc: 2.6965 6.9417 6.9440
angles: 118.04 97.46 97.68
Closest atoms and distances in Å follow each position.
Fractional coordinates of all 7 atoms:
V 0.0000 0.0000 0.0000  4 Mo 2.64-2.65, 2 W 2.66, 2 V 2.70
Mo 0.2374 0.8560 0.2832  1 V 2.64, 5 Mo 2.70-2.80, 2 W 2.75-2.80
Mo 0.3772 0.4286 0.1450  1 V 2.65, 5 Mo 2.70-2.80, 2 W 2.74-2.78
Mo 0.6228 0.5714 0.8550  1 V 2.65, 5 Mo 2.70-2.80, 2 W 2.74-2.78
Mo 0.7626 0.1440 0.7168  1 V 2.64, 5 Mo 2.70-2.80, 2 W 2.75-2.80
W 0.0515 0.2842 0.4295  1 V 2.66, 3 W 2.70-2.75, 4 Mo 2.74-2.80
W 0.9485 0.7158 0.5705  1 V 2.66, 3 W 2.70-2.75, 4 Mo 2.74-2.80

The calculation puts the energy of formation from the pure elements at 0.9 eV/f.u. As for the energy above the lowest structure with this stoichiometry: 0.000 eV per atom. Its calculated density is 12.015 g/cm3.

[6]
## VMoW3 (GGA-PBE)

Data for an optimized crystal structure of VMoW3.

abc: 4.4828 4.4828 4.4828
angles: 90.00 90.00 90.00
Closest atoms and distances in Å follow each position.
Fractional coordinates of all 5 atoms:
V 0.0000 0.0000 0.0000  6 W 2.24
Mo 0.5000 0.5000 0.5000  12 W 3.17
W 0.0000 0.0000 0.5000  2 V 2.24
W 0.0000 0.5000 0.0000  2 V 2.24
W 0.5000 0.0000 0.0000  2 V 2.24

The calculation puts the energy of formation from the pure elements at 8.3 eV/f.u. As for the energy above the lowest structure with this stoichiometry: 1.415 eV per atom. Its calculated density is 12.874 g/cm3.

[7]
## V2Mo4W5 (GGA-PBE)

Data for an optimized crystal structure of V2Mo4W5.

abc: 2.6766 6.8968 9.5513
angles: 93.41 97.12 91.45
Closest atoms and distances in Å follow each position.
Fractional coordinates of all 11 atoms:
V 0.1664 0.2276 0.1802  3 W 2.63-2.81, 3 Mo 2.67-2.83, 2 V 2.68
V 0.8336 0.7724 0.8198  3 W 2.63-2.81, 3 Mo 2.67-2.83, 2 V 2.68
Mo 0.3746 0.8674 0.0903  2 V 2.67-2.83, 3 Mo 2.68-2.72, 3 W 2.75-2.84
Mo 0.4135 0.6839 0.5468  3 Mo 2.68-2.71, 5 W 2.71-2.99, 1 V 2.74
Mo 0.5865 0.3161 0.4532  3 Mo 2.68-2.71, 5 W 2.71-2.99, 1 V 2.74
Mo 0.6254 0.1326 0.9097  2 V 2.67-2.83, 3 Mo 2.68-2.72, 3 W 2.75-2.84
W 0.0000 0.5000 0.0000  2 V 2.63, 4 W 2.68-2.75, 2 Mo 2.75
W 0.1089 0.9540 0.3622  1 V 2.65, 4 W 2.68-2.81, 3 Mo 2.71-2.82
W 0.2056 0.4150 0.7289  4 W 2.68-2.75, 4 Mo 2.71-2.99, 2 V 2.81-2.97
W 0.7944 0.5850 0.2711  4 W 2.68-2.75, 4 Mo 2.71-2.99, 2 V 2.81-2.97
W 0.8911 0.0460 0.6378  1 V 2.65, 4 W 2.68-2.81, 3 Mo 2.71-2.82

The calculation puts the energy of formation from the pure elements at 2.0 eV/f.u. Its calculated density is 13.365 g/cm3.

[8]
## V3Mo2W4 (GGA-PBE)

Data for an optimized crystal structure of V3Mo2W4.

abc: 7.1382 7.1382 8.2781
angles: 92.31 92.31 136.30
Closest atoms and distances in Å follow each position.
Fractional coordinates of all 18 atoms:
V 0.0568 0.9432 0.7500  2 V 2.56, 2 Mo 2.60, 2 W 2.85
V 0.2257 0.5416 0.3728  2 V 2.49-2.56, 4 W 2.55-2.78, 1 Mo 2.57
V 0.4584 0.7743 0.1272  2 V 2.49-2.56, 4 W 2.55-2.78, 1 Mo 2.57
V 0.5416 0.2257 0.8728  2 V 2.49-2.56, 4 W 2.55-2.78, 1 Mo 2.57
V 0.7743 0.4584 0.6272  2 V 2.49-2.56, 4 W 2.55-2.78, 1 Mo 2.57
V 0.9432 0.0568 0.2500  2 V 2.56, 2 Mo 2.60, 2 W 2.85
Mo 0.2367 0.3278 0.9690  2 V 2.57-2.60, 1 Mo 2.61, 2 W 2.64-2.81
Mo 0.3278 0.2367 0.4690  2 V 2.57-2.60, 1 Mo 2.61, 2 W 2.64-2.81
Mo 0.6722 0.7633 0.5310  2 V 2.57-2.60, 1 Mo 2.61, 2 W 2.64-2.81
Mo 0.7633 0.6722 0.0310  2 V 2.57-2.60, 1 Mo 2.61, 2 W 2.64-2.81
W 0.0229 0.2879 0.6249  2 V 2.55-2.78, 2 Mo 2.64-2.81, 3 W 2.77-2.85
W 0.1248 0.6281 0.8764  4 W 2.57-2.85, 3 V 2.63-2.85
W 0.2879 0.0229 0.1249  2 V 2.55-2.78, 2 Mo 2.64-2.81, 3 W 2.77-2.85
W 0.3719 0.8752 0.6236  4 W 2.57-2.85, 3 V 2.63-2.85
W 0.6281 0.1248 0.3764  4 W 2.57-2.85, 3 V 2.63-2.85
W 0.7121 0.9771 0.8751  2 V 2.55-2.78, 2 Mo 2.64-2.81, 3 W 2.77-2.85
W 0.8752 0.3719 0.1236  4 W 2.57-2.85, 3 V 2.63-2.85
W 0.9771 0.7121 0.3751  2 V 2.55-2.78, 2 Mo 2.64-2.81, 3 W 2.77-2.85

The calculation puts the energy of formation from the pure elements at 3.8 eV/f.u. Its calculated density is 12.381 g/cm3.

[9]
## VMo4W5 (GGA-PBE)

Data for an optimized crystal structure of VMo4W5.

abc: 3.1598 3.1598 15.8113
angles: 90.00 90.00 90.00
Closest atoms and distances in Å follow each position.
Fractional coordinates of all 10 atoms:
V 0.0000 0.0000 0.0000  8 W 2.71
Mo 0.0000 0.0000 0.1968  8 W 2.74-2.75
Mo 0.0000 0.0000 0.3988  8 W 2.75
Mo 0.0000 0.0000 0.6012  8 W 2.75
Mo 0.0000 0.0000 0.8032  8 W 2.74-2.75
W 0.5000 0.5000 0.0967  4 V 2.71, 4 Mo 2.74
W 0.5000 0.5000 0.2980  8 Mo 2.75
W 0.5000 0.5000 0.5000  8 Mo 2.75
W 0.5000 0.5000 0.7020  8 Mo 2.75
W 0.5000 0.5000 0.9033  4 V 2.71, 4 Mo 2.74

The calculation puts the energy of formation from the pure elements at -0.4 eV/f.u. Its calculated density is 14.241 g/cm3.

[10]
## V12Mo5W2 (GGA-PBE)

Data for an optimized crystal structure of V12Mo5W2.

abc: 7.6504 7.6504 8.5824
angles: 107.37 107.37 40.17
Closest atoms and distances in Å follow each position.
Fractional coordinates of all 19 atoms:
V 0.0044 0.0044 0.3519  2 Mo 2.29-2.45
V 0.0777 0.5899 0.4239  3 Mo 2.50-2.64, 3 V 2.56-2.75
V 0.0865 0.5336 0.8906  1 V 2.35, 3 Mo 2.46-2.61, 1 W 2.59
V 0.3961 0.3961 0.1952  3 Mo 2.57-2.69, 4 V 2.75-2.77
V 0.4101 0.9223 0.5761  3 Mo 2.50-2.64, 3 V 2.56-2.75
V 0.4664 0.9135 0.1094  1 V 2.35, 3 Mo 2.46-2.61, 1 W 2.59
V 0.5336 0.0865 0.8906  1 V 2.35, 3 Mo 2.46-2.61, 1 W 2.59
V 0.5899 0.0777 0.4239  3 Mo 2.50-2.64, 3 V 2.56-2.75
V 0.6039 0.6039 0.8048  3 Mo 2.57-2.69, 4 V 2.75-2.77
V 0.9135 0.4664 0.1094  1 V 2.35, 3 Mo 2.46-2.61, 1 W 2.59
V 0.9223 0.4101 0.5761  3 Mo 2.50-2.64, 3 V 2.56-2.75
V 0.9956 0.9956 0.6481  2 Mo 2.29-2.45
Mo 0.1425 0.1425 0.8569  3 V 2.29-2.52
Mo 0.1700 0.1700 0.3283  7 V 2.45-2.61
Mo 0.5000 0.5000 0.5000  6 V 2.57-2.64
Mo 0.8300 0.8300 0.6717  7 V 2.45-2.61
Mo 0.8575 0.8575 0.1431  3 V 2.29-2.52
W 0.2518 0.7482 0.0000  4 V 2.59-2.89, 2 W 2.61-2.65
W 0.7482 0.2518 0.0000  4 V 2.59-2.89, 2 W 2.61-2.65

The calculation puts the energy of formation from the pure elements at 12.3 eV/f.u. Its calculated density is 7.884 g/cm3.

Please write out number 3 again, unchanged.
## V3Mo3W (GGA-PBE)

Data for an optimized crystal structure of V3Mo3W.

abc: 11.5315 11.5315 2.5327
angles: 90.00 90.00 120.00
Closest atoms and distances in Å follow each position.
Fractional coordinates of all 14 atoms:
V 0.1298 0.7346 0.2500  2 V 2.53, 3 Mo 2.56-2.70, 1 W 2.82
V 0.2654 0.3952 0.2500  2 V 2.53, 3 Mo 2.56-2.70, 1 W 2.82
V 0.3952 0.1298 0.7500  2 V 2.53, 3 Mo 2.56-2.70, 1 W 2.82
V 0.6048 0.8702 0.2500  2 V 2.53, 3 Mo 2.56-2.70, 1 W 2.82
V 0.7346 0.6048 0.7500  2 V 2.53, 3 Mo 2.56-2.70, 1 W 2.82
V 0.8702 0.2654 0.7500  2 V 2.53, 3 Mo 2.56-2.70, 1 W 2.82
Mo 0.0850 0.4625 0.2500  4 Mo 2.53-2.81, 3 V 2.56-2.70, 1 W 2.65
Mo 0.3775 0.9150 0.2500  4 Mo 2.53-2.81, 3 V 2.56-2.70, 1 W 2.65
Mo 0.4625 0.3775 0.7500  4 Mo 2.53-2.81, 3 V 2.56-2.70, 1 W 2.65
Mo 0.5375 0.6225 0.2500  4 Mo 2.53-2.81, 3 V 2.56-2.70, 1 W 2.65
Mo 0.6225 0.0850 0.7500  4 Mo 2.53-2.81, 3 V 2.56-2.70, 1 W 2.65
Mo 0.9150 0.5375 0.7500  4 Mo 2.53-2.81, 3 V 2.56-2.70, 1 W 2.65
W 0.3333 0.6667 0.2500  2 W 2.53, 3 Mo 2.65, 3 V 2.82
W 0.6667 0.3333 0.7500  2 W 2.53, 3 Mo 2.65, 3 V 2.82

The calculation puts the energy of formation from the pure elements at 7.2 eV/f.u. As for the energy above the lowest structure with this stoichiometry: 1.142 eV per atom. Its calculated density is 7.111 g/cm3.

Copy entry 7 word for word.
## V2Mo4W5 (GGA-PBE)

Data for an optimized crystal structure of V2Mo4W5.

abc: 2.6766 6.8968 9.5513
angles: 93.41 97.12 91.45
Closest atoms and distances in Å follow each position.
Fractional coordinates of all 11 atoms:
V 0.1664 0.2276 0.1802  3 W 2.63-2.81, 3 Mo 2.67-2.83, 2 V 2.68
V 0.8336 0.7724 0.8198  3 W 2.63-2.81, 3 Mo 2.67-2.83, 2 V 2.68
Mo 0.3746 0.8674 0.0903  2 V 2.67-2.83, 3 Mo 2.68-2.72, 3 W 2.75-2.84
Mo 0.4135 0.6839 0.5468  3 Mo 2.68-2.71, 5 W 2.71-2.99, 1 V 2.74
Mo 0.5865 0.3161 0.4532  3 Mo 2.68-2.71, 5 W 2.71-2.99, 1 V 2.74
Mo 0.6254 0.1326 0.9097  2 V 2.67-2.83, 3 Mo 2.68-2.72, 3 W 2.75-2.84
W 0.0000 0.5000 0.0000  2 V 2.63, 4 W 2.68-2.75, 2 Mo 2.75
W 0.1089 0.9540 0.3622  1 V 2.65, 4 W 2.68-2.81, 3 Mo 2.71-2.82
W 0.2056 0.4150 0.7289  4 W 2.68-2.75, 4 Mo 2.71-2.99, 2 V 2.81-2.97
W 0.7944 0.5850 0.2711  4 W 2.68-2.75, 4 Mo 2.71-2.99, 2 V 2.81-2.97
W 0.8911 0.0460 0.6378  1 V 2.65, 4 W 2.68-2.81, 3 Mo 2.71-2.82

The calculation puts the energy of formation from the pure elements at 2.0 eV/f.u. Its calculated density is 13.365 g/cm3.

Among the records above, which one has the highest energy of formation from the pure elements? V12Mo5W2